The following is a DFT calculation (PBE with a Hubbard U) of a relaxed structure of CoTcF5.

Properties
SG	C2/c
density	4.3	g/cm3
uncorrected energy	-5.425	eV/atom

Cell: 5.467 5.467 7.541 Å, 109.85 109.85 74.05°
Element x y z (fractional)
Co 0.001 0.999 0.750
Co 0.999 0.001 0.250
Tc 0.500 0.500 0.000
Tc 0.500 0.500 0.500
F 0.177 0.795 0.034
F 0.205 0.823 0.466
F 0.219 0.280 0.366
F 0.280 0.219 0.866
F 0.378 0.622 0.750
F 0.622 0.378 0.250
F 0.720 0.781 0.134
F 0.781 0.720 0.634
F 0.795 0.177 0.534
F 0.823 0.205 0.966